1.
CaGa2Ag3 after structural relaxation. Source: Alexandria via LeMat-Bulk, functional PBE.

Lattice parameters (Å, degrees): 4.206 9.090 10.473 107.28 90.00 103.38
Sites, in units of the cell vectors:
Ag 0.678 0.356 0.967
Ag 0.620 0.240 0.196
Ag 0.045 0.089 0.331
Ag 0.322 0.644 0.033
Ag 0.785 0.571 0.606
Ag 0.500 0.000 0.500
Ag 0.955 0.911 0.669
Ag 0.380 0.760 0.804
Ag 0.215 0.429 0.394
Ga 0.637 0.275 0.465
Ga 0.798 0.596 0.866
Ga 0.461 0.923 0.217
Ga 0.202 0.404 0.134
Ga 0.539 0.077 0.783
Ga 0.363 0.725 0.535
Ca 0.844 0.688 0.296
Ca 0.000 0.000 0.000
Ca 0.156 0.312 0.704

Values from the calculation:
- formation energy from the elements (eV/atom) = -0.224
- total DFT energy (no corrections) (eV/atom) = -2.992
- density of states at the Fermi level (states/eV/f.u.) = 2.62
- space group = C2/m (12)

---

2.
RbCa2Cl2 after structural relaxation. Source: Alexandria via LeMat-Bulk, functional PBE.

Lattice parameters (Å, degrees): 5.199 5.199 7.630 70.08 70.08 90.00
Sites, in units of the cell vectors:
Cl 0.250 0.750 0.500
Cl 0.750 0.250 0.500
Ca 0.643 0.643 0.714
Ca 0.357 0.357 0.286
Rb 0.000 0.000 0.000

Values from the calculation:
- total DFT energy (no corrections) (eV/atom) = -2.952
- density of states at the Fermi level (states/eV/f.u.) = 3.04
- formation energy (no corrections) (meV/atom) = -1219
- space group = I4/mmm (139)

---

3.
SrSn2Pd after structural relaxation. Source: Alexandria via LeMat-Bulk, functional PBE.

Lattice parameters (Å, degrees): 5.181 5.181 5.181 60.00 60.00 60.00
Sites, in units of the cell vectors:
Sn 0.750 0.750 0.750
Sn 0.250 0.250 0.250
Sr 0.000 0.000 0.000
Pd 0.500 0.500 0.500

Values from the calculation:
- formation energy from the elements (eV/atom) = -0.339
- total DFT energy (no corrections) (eV/atom) = -4.059
- density of states at the Fermi level (states/eV/f.u.) = 0.27
- space group = Fm-3m (225)